# 1
16
Lattice="2.207 -5.234 0.000 2.207 5.234 0.000 0.000 0.000 15.013" Properties=species:S:1:pos:R:3 comment="PBE-GGA Ca3Zn3Cu2, optimized geometry" polymorph_energy_mev_per_atom=0 formation_enthalpy_0k_ev_per_atom=-0.230 final_energy_ev_per_cell=-39.72 space_group="Cmcm, No. 63" dos_at_fermi_per_ev_fu=4.48 pbc="T T T"
Ca 2.207 4.310 9.104
Ca 2.207 4.310 13.415
Ca 2.207 1.264 11.260
Ca 2.207 -1.264 3.753
Ca 2.207 -4.310 1.598
Ca 2.207 -4.310 5.909
Zn 2.207 1.866 3.753
Zn 2.207 1.297 8.074
Zn 2.207 1.297 14.445
Zn 2.207 -1.297 0.568
Zn 2.207 -1.297 6.939
Zn 2.207 -1.866 11.260
Cu 2.207 3.059 1.476
Cu 2.207 3.059 6.030
Cu 2.207 -3.059 8.983
Cu 2.207 -3.059 13.537

***

# 2
12
Lattice="9.171 -2.106 0.000 9.171 2.106 0.000 -1.938 0.000 8.197" Properties=species:S:1:pos:R:3 comment="PBE-GGA Ce2Pm3DyAs6, optimized geometry" formation_enthalpy_0k_ev_per_atom=-1.499 final_energy_ev_per_cell=-76.61 space_group="C2/m, No. 12" dos_at_fermi_per_ev_fu=11.57 pbc="T T T"
Ce 2.395 0.000 2.718
Ce 14.008 0.000 5.479
Pm 1.435 0.000 6.841
Pm 8.202 0.000 4.099
Pm 14.969 0.000 1.357
Dy 9.171 0.000 0.000
As -0.461 0.000 2.013
As 5.282 0.000 3.433
As 4.375 0.000 7.499
As 12.028 0.000 0.698
As 11.121 0.000 4.764
As 16.864 0.000 6.185

***

# 3
12
Lattice="5.348 -2.631 0.000 5.348 2.631 0.000 -5.086 0.000 8.464" Properties=species:S:1:pos:R:3 comment="PBE-GGA InGa4Ag7, optimized geometry" formation_enthalpy_0k_ev_per_atom=0.108 final_energy_ev_per_cell=-33.51 space_group="C2/m, No. 12" dos_at_fermi_per_ev_fu=4.05 pbc="T T T"
In 0.000 0.000 0.000
Ga -0.581 0.000 5.803
Ga 3.320 0.000 1.975
Ga 2.289 0.000 6.489
Ga 6.190 0.000 2.661
Ag -1.474 0.000 3.222
Ag -2.412 0.000 7.782
Ag 1.347 0.000 3.830
Ag 5.348 0.000 0.000
Ag 4.262 0.000 4.633
Ag 8.022 0.000 0.681
Ag 7.084 0.000 5.241

***

# 4
5
Lattice="5.108 0.000 0.000 0.000 5.108 0.000 0.000 0.000 4.598" Properties=species:S:1:pos:R:3 comment="PBE-GGA BeAlAgPb2, optimized geometry" formation_enthalpy_0k_ev_per_atom=0.510 final_energy_ev_per_cell=-15.18 space_group="P4/mmm, No. 123" dos_at_fermi_per_ev_fu=3.30 pbc="T T T"
Be 0.000 0.000 0.000
Al 2.554 2.554 2.299
Ag 0.000 0.000 2.299
Pb 0.000 2.554 0.000
Pb 2.554 0.000 0.000

***

# 5
16
Lattice="8.033 0.000 0.000 0.000 7.498 0.000 0.000 0.000 13.652" Properties=species:S:1:pos:R:3 comment="PBE-GGA Ba2SrAu, optimized geometry" polymorph_energy_mev_per_atom=0 formation_enthalpy_0k_ev_per_atom=-0.402 final_energy_ev_per_cell=-41.64 space_group="Pnna, No. 52" dos_at_fermi_per_ev_fu=3.73 pbc="T T T"
Ba 0.683 1.822 1.128
Ba 0.683 1.927 5.698
Ba 3.334 5.571 5.698
Ba 3.334 5.676 1.128
Ba 4.700 1.822 12.523
Ba 4.700 1.927 7.954
Ba 7.350 5.571 7.954
Ba 7.350 5.676 12.523
Sr 0.678 1.874 10.239
Sr 3.339 5.623 10.239
Sr 4.694 1.874 3.413
Sr 7.356 5.623 3.413
Au 2.008 0.000 12.375
Au 2.008 3.749 8.102
Au 6.025 0.000 1.276
Au 6.025 3.749 5.549

***

# 6
10
Lattice="2.004 -11.672 0.000 2.004 11.672 0.000 0.000 0.000 6.455" Properties=species:S:1:pos:R:3 comment="PBE-GGA AlSbSe3, optimized geometry" formation_energy_uncorrected_mev_per_atom=-554 polymorph_energy_mev_per_atom=0 final_energy_ev_per_cell=-42.18 space_group="Cmc2_1, No. 36" pbc="T T T"
Al 2.004 8.870 3.228
Al 2.004 -8.870 0.000
Sb 2.004 3.804 2.816
Sb 2.004 -3.804 6.044
Se 2.004 9.434 0.922
Se 2.004 6.717 4.268
Se 2.004 1.727 1.043
Se 2.004 -1.727 4.271
Se 2.004 -6.717 1.040
Se 2.004 -9.434 4.150

***

Copy entry 2 word for word.
12
Lattice="9.171 -2.106 0.000 9.171 2.106 0.000 -1.938 0.000 8.197" Properties=species:S:1:pos:R:3 comment="PBE-GGA Ce2Pm3DyAs6, optimized geometry" formation_enthalpy_0k_ev_per_atom=-1.499 final_energy_ev_per_cell=-76.61 space_group="C2/m, No. 12" dos_at_fermi_per_ev_fu=11.57 pbc="T T T"
Ce 2.395 0.000 2.718
Ce 14.008 0.000 5.479
Pm 1.435 0.000 6.841
Pm 8.202 0.000 4.099
Pm 14.969 0.000 1.357
Dy 9.171 0.000 0.000
As -0.461 0.000 2.013
As 5.282 0.000 3.433
As 4.375 0.000 7.499
As 12.028 0.000 0.698
As 11.121 0.000 4.764
As 16.864 0.000 6.185